Entry from Alexandria via LeMat-Bulk: a PBEsol-optimized structure of SrS2O (SCAN).

* uncorrected formation energy: -72.9 kJ per mole of atoms
* final energy: -12.696 eV per atom
* SG: No. 166

Unit cell a=6.4441 b=6.4441 c=6.4441 alpha=42.45 beta=42.45 gamma=42.45
Element x y z (fractional)
Sr1 0.0000 0.0000 0.0000
S1 0.4057 0.4057 0.4057
S2 0.5943 0.5943 0.5943
O1 0.5000 0.5000 0.5000